(1)
Crystalline CdGaCuTc at its relaxed geometry, computed with PBE-GGA.

Computed properties:
M_tot: 0.00 μB/atom
SG: F-43m (216)
Energy above the lowest structure with this stoichiometry: 0.0 kJ/mol of atoms
E: -4.2421 eV per atom

a = 4.439 Å, b = 4.439 Å, c = 4.439 Å
α = 60.00°, β = 60.00°, γ = 60.00°
Atoms (fractional coordinates):
Cd 0.500 0.500 0.500
Tc 0.250 0.250 0.250
Ga 0.000 0.000 0.000
Cu 0.750 0.750 0.750



(2)
Crystalline TaTlFeCo at its relaxed geometry, computed with PBE-GGA.

Computed properties:
M_tot: 0.30 μB/atom
SG: F-43m (216)
Energy above the lowest structure with this stoichiometry: 0.0 kJ/mol of atoms
E: -7.1616 eV per atom

a = 4.378 Å, b = 4.378 Å, c = 4.378 Å
α = 60.00°, β = 60.00°, γ = 60.00°
Site moments in Bohr magnetons follow the coordinates.
Atoms (fractional coordinates):
Ta 0.500 0.500 0.500  -0.20
Fe 0.250 0.250 0.250  1.03
Co 0.750 0.750 0.750  0.47
Tl 0.000 0.000 0.000  -0.02



(3)
Crystalline Er3Fe4Ge4 at its relaxed geometry, computed with PBE-GGA.

Computed properties:
M_tot: 0.72 μB/atom
SG: Immm (71)
E: -6.4425 eV per atom

a = 7.792 Å, b = 7.792 Å, c = 7.792 Å
α = 149.02°, β = 129.01°, γ = 60.87°
Site moments in Bohr magnetons follow the coordinates.
Atoms (fractional coordinates):
Fe 0.494 0.675 0.820  2.06
Ge 0.196 0.500 0.696  -0.01
Er 0.500 0.000 0.500  -0.10
Ge 0.804 0.500 0.304  -0.01
Fe 0.506 0.325 0.180  2.06
Fe 0.145 0.325 0.820  2.06
Fe 0.855 0.675 0.180  2.06
Er 0.872 0.872 0.000  -0.08
Er 0.128 0.128 0.000  -0.08
Ge 0.721 0.221 0.500  -0.06
Ge 0.279 0.779 0.500  -0.06



Copy entry 3 word for word.
Crystalline Er3Fe4Ge4 at its relaxed geometry, computed with PBE-GGA.

Computed properties:
M_tot: 0.72 μB/atom
SG: Immm (71)
E: -6.4425 eV per atom

a = 7.792 Å, b = 7.792 Å, c = 7.792 Å
α = 149.02°, β = 129.01°, γ = 60.87°
Site moments in Bohr magnetons follow the coordinates.
Atoms (fractional coordinates):
Fe 0.494 0.675 0.820  2.06
Ge 0.196 0.500 0.696  -0.01
Er 0.500 0.000 0.500  -0.10
Ge 0.804 0.500 0.304  -0.01
Fe 0.506 0.325 0.180  2.06
Fe 0.145 0.325 0.820  2.06
Fe 0.855 0.675 0.180  2.06
Er 0.872 0.872 0.000  -0.08
Er 0.128 0.128 0.000  -0.08
Ge 0.721 0.221 0.500  -0.06
Ge 0.279 0.779 0.500  -0.06



> Which of these has the lowest E?

TaTlFeCo



> Among the records above, which one has the lowest E?

TaTlFeCo